# PrY15Ho4 PBE optimized geometry
data_PrY15Ho4
_chemical_formula_sum 'Pr1 Y15 Ho4'
_cell_length_a 5.047
_cell_length_b 5.047
_cell_length_c 25.245
_cell_angle_alpha 90.00
_cell_angle_beta 90.00
_cell_angle_gamma 90.00
_symmetry_space_group_name_H-M 'P 4/m m m'
_symmetry_Int_Tables_number 123
_symmetry_space_group_name_Hall '-P 4 2'
loop_
_atom_site_label
_atom_site_fract_x
_atom_site_fract_y
_atom_site_fract_z
Pr1 0.000 0.000 0.000
Y1 0.000 0.500 0.102
Y2 0.000 0.500 0.301
Y3 0.000 0.500 0.500
Y4 0.500 0.500 0.000
Y5 0.500 0.500 0.202
Y6 0.500 0.500 0.400
Ho1 0.000 0.000 0.201
Ho2 0.000 0.000 0.400
# ΔE_f: 0.024 eV/atom

# LaEuAgSb PBE optimized geometry
data_LaEuAgSb
_chemical_formula_sum 'La4 Eu4 Ag4 Sb4'
_cell_length_a 7.748
_cell_length_b 7.748
_cell_length_c 7.748
_cell_angle_alpha 90.00
_cell_angle_beta 90.00
_cell_angle_gamma 90.00
_symmetry_space_group_name_H-M 'F -4 3 m'
_symmetry_Int_Tables_number 216
_symmetry_space_group_name_Hall 'F -4 2 3'
loop_
_atom_site_label
_atom_site_fract_x
_atom_site_fract_y
_atom_site_fract_z
La1 0.000 0.000 0.000
Eu1 0.000 0.000 0.500
Ag1 0.250 0.250 0.250
Sb1 0.250 0.250 0.750
# E_form (uncorrected): -0.677 eV/atom

# TbCeTeAs PBE optimized geometry
data_TbCeTeAs
_chemical_formula_sum 'Tb3 Ce3 Te3 As3'
_cell_length_a 4.2679
_cell_length_b 4.2679
_cell_length_c 21.5977
_cell_angle_alpha 90.00
_cell_angle_beta 90.00
_cell_angle_gamma 120.00
_symmetry_space_group_name_H-M 'R 3 m'
_symmetry_Int_Tables_number 160
_symmetry_space_group_name_Hall 'R 3 -2"'
loop_
_atom_site_label
_atom_site_fract_x
_atom_site_fract_y
_atom_site_fract_z
Tb1 0.0000 0.0000 0.0000
Ce1 0.0000 0.0000 0.5187
Te1 0.0000 0.0000 0.7570
As1 0.0000 0.0000 0.2622
# E_form (uncorrected): -1.467 eV/atom

# SrAl2CdAu5 PBE optimized geometry
data_SrAl2CdAu5
_chemical_formula_sum 'Sr1 Al2 Cd1 Au5'
_cell_length_a 4.876
_cell_length_b 4.876
_cell_length_c 9.123
_cell_angle_alpha 90.00
_cell_angle_beta 90.00
_cell_angle_gamma 90.00
_symmetry_space_group_name_H-M 'P 4/m m m'
_symmetry_Int_Tables_number 123
_symmetry_space_group_name_Hall '-P 4 2'
loop_
_atom_site_label
_atom_site_fract_x
_atom_site_fract_y
_atom_site_fract_z
Sr1 0.000 0.000 0.000
Al1 0.500 0.500 0.270
Cd1 0.000 0.000 0.500
Au1 0.000 0.500 0.333
Au2 0.500 0.500 0.000
# ΔE_f: -0.298 eV/atom

# SrZr2As PBE optimized geometry
data_SrZr2As
_chemical_formula_sum 'Sr3 Zr6 As3'
_cell_length_a 3.6819
_cell_length_b 3.6819
_cell_length_c 27.7652
_cell_angle_alpha 90.00
_cell_angle_beta 90.00
_cell_angle_gamma 120.00
_symmetry_space_group_name_H-M 'R 3 m'
_symmetry_Int_Tables_number 160
_symmetry_space_group_name_Hall 'R 3 -2"'
loop_
_atom_site_label
_atom_site_fract_x
_atom_site_fract_y
_atom_site_fract_z
Sr1 0.0000 0.0000 0.0000
Zr1 0.0000 0.0000 0.5311
Zr2 0.0000 0.0000 0.7805
As1 0.0000 0.0000 0.2567
# ΔE_f: -0.244 eV/atom

# TbMg2Ag PBE optimized geometry
data_TbMg2Ag
_chemical_formula_sum 'Tb2 Mg4 Ag2'
_cell_length_a 5.392
_cell_length_b 4.893
_cell_length_c 7.304
_cell_angle_alpha 90.00
_cell_angle_beta 96.86
_cell_angle_gamma 90.00
_symmetry_space_group_name_H-M 'P 1 21/m 1'
_symmetry_Int_Tables_number 11
_symmetry_space_group_name_Hall '-P 2yb'
loop_
_atom_site_label
_atom_site_fract_x
_atom_site_fract_y
_atom_site_fract_z
Tb1 0.047 0.250 0.178
Mg1 0.380 0.750 0.547
Mg2 0.494 0.750 0.121
Ag1 0.118 0.250 0.603
# ΔE_f: -0.130 eV/atom

# TcNiBr2 PBE optimized geometry
data_TcNiBr2
_chemical_formula_sum 'Tc2 Ni2 Br4'
_cell_length_a 7.933
_cell_length_b 3.205
_cell_length_c 5.590
_cell_angle_alpha 90.00
_cell_angle_beta 106.12
_cell_angle_gamma 90.00
_symmetry_space_group_name_H-M 'C 1 2/m 1'
_symmetry_Int_Tables_number 12
_symmetry_space_group_name_Hall '-C 2y'
loop_
_atom_site_label
_atom_site_fract_x
_atom_site_fract_y
_atom_site_fract_z
Tc1 0.000 0.000 0.000
Ni1 0.000 0.500 0.500
Br1 0.237 0.000 0.751
# distance to the lowest polymorph of the same formula: 50.2 kJ/mol of atoms
# E_form (uncorrected): 0.684 eV/atom

# Ca2CdRe PBE optimized geometry
data_Ca2CdRe
_chemical_formula_sum 'Ca6 Cd3 Re3'
_cell_length_a 3.2317
_cell_length_b 3.2317
_cell_length_c 32.0060
_cell_angle_alpha 90.00
_cell_angle_beta 90.00
_cell_angle_gamma 120.00
_symmetry_space_group_name_H-M 'R 3 m'
_symmetry_Int_Tables_number 160
_symmetry_space_group_name_Hall 'R 3 -2"'
loop_
_atom_site_label
_atom_site_fract_x
_atom_site_fract_y
_atom_site_fract_z
Ca1 0.0000 0.0000 0.0000
Ca2 0.0000 0.0000 0.2282
Cd1 0.0000 0.0000 0.7512
Re1 0.0000 0.0000 0.4884
# ΔE_f: 0.707 eV/atom

# BaInGa2Hg PBE optimized geometry
data_BaInGa2Hg
_chemical_formula_sum 'Ba2 In2 Ga4 Hg2'
_cell_length_a 4.762
_cell_length_b 4.773
_cell_length_c 11.749
_cell_angle_alpha 90.00
_cell_angle_beta 90.00
_cell_angle_gamma 90.00
_symmetry_space_group_name_H-M 'I m m 2'
_symmetry_Int_Tables_number 44
_symmetry_space_group_name_Hall 'I 2 -2'
loop_
_atom_site_label
_atom_site_fract_x
_atom_site_fract_y
_atom_site_fract_z
Ba1 0.000 0.000 0.000
In1 0.000 0.500 0.746
Ga1 0.000 0.000 0.619
Ga2 0.000 0.500 0.245
Hg1 0.000 0.000 0.389
# ΔE_f: -0.387 eV/atom
# distance to the lowest polymorph of the same formula: 0.0 kJ/mol of atoms

# AlNiMo PBE optimized geometry
data_AlNiMo
_chemical_formula_sum 'Al2 Ni2 Mo2'
_cell_length_a 2.787
_cell_length_b 2.787
_cell_length_c 10.448
_cell_angle_alpha 90.00
_cell_angle_beta 90.00
_cell_angle_gamma 90.00
_symmetry_space_group_name_H-M 'I 4 m m'
_symmetry_Int_Tables_number 107
_symmetry_space_group_name_Hall 'I 4 -2'
loop_
_atom_site_label
_atom_site_fract_x
_atom_site_fract_y
_atom_site_fract_z
Al1 0.000 0.000 0.000
Ni1 0.000 0.000 0.645
Mo1 0.000 0.000 0.312
# ΔE_f: -0.270 eV/atom
# distance to the lowest polymorph of the same formula: 0.6 kJ/mol of atoms

# ScPdPb2 PBE optimized geometry
data_ScPdPb2
_chemical_formula_sum 'Sc4 Pd4 Pb8'
_cell_length_a 7.959
_cell_length_b 7.959
_cell_length_c 6.177
_cell_angle_alpha 90.00
_cell_angle_beta 90.00
_cell_angle_gamma 90.00
_symmetry_space_group_name_H-M 'I -4 2 d'
_symmetry_Int_Tables_number 122
_symmetry_space_group_name_Hall 'I -4 2bw'
loop_
_atom_site_label
_atom_site_fract_x
_atom_site_fract_y
_atom_site_fract_z
Sc1 0.000 0.000 0.000
Pd1 0.000 0.000 0.500
Pb1 0.217 0.250 0.625
# ΔE_f: -0.180 eV/atom
# distance to the lowest polymorph of the same formula: 12.7 kJ/mol of atoms

# TmScCoSn PBE optimized geometry
data_TmScCoSn
_chemical_formula_sum 'Tm4 Sc4 Co4 Sn4'
_cell_length_a 6.917
_cell_length_b 6.917
_cell_length_c 6.917
_cell_angle_alpha 90.00
_cell_angle_beta 90.00
_cell_angle_gamma 90.00
_symmetry_space_group_name_H-M 'F -4 3 m'
_symmetry_Int_Tables_number 216
_symmetry_space_group_name_Hall 'F -4 2 3'
loop_
_atom_site_label
_atom_site_fract_x
_atom_site_fract_y
_atom_site_fract_z
Tm1 0.000 0.000 0.000
Sc1 0.000 0.000 0.500
Co1 0.250 0.250 0.250
Sn1 0.250 0.250 0.750
# ΔE_f: -0.346 eV/atom

# TaAs2BrCl PBE optimized geometry
data_TaAs2BrCl
_chemical_formula_sum 'Ta1 As2 Br1 Cl1'
_cell_length_a 5.041
_cell_length_b 5.041
_cell_length_c 5.078
_cell_angle_alpha 90.00
_cell_angle_beta 90.00
_cell_angle_gamma 90.00
_symmetry_space_group_name_H-M 'P 4/m m m'
_symmetry_Int_Tables_number 123
_symmetry_space_group_name_Hall '-P 4 2'
loop_
_atom_site_label
_atom_site_fract_x
_atom_site_fract_y
_atom_site_fract_z
Ta1 0.000 0.000 0.000
As1 0.000 0.500 0.000
Br1 0.000 0.000 0.500
Cl1 0.500 0.500 0.500
# distance to the lowest polymorph of the same formula: 0.0 kJ/mol of atoms
# E_form (uncorrected): 0.110 eV/atom

# BaLa2Cd PBE optimized geometry
data_BaLa2Cd
_chemical_formula_sum 'Ba1 La2 Cd1'
_cell_length_a 3.935
_cell_length_b 6.034
_cell_length_c 6.127
_cell_angle_alpha 90.00
_cell_angle_beta 90.00
_cell_angle_gamma 90.00
_symmetry_space_group_name_H-M 'P m m m'
_symmetry_Int_Tables_number 47
_symmetry_space_group_name_Hall '-P 2 2'
loop_
_atom_site_label
_atom_site_fract_x
_atom_site_fract_y
_atom_site_fract_z
Ba1 0.000 0.000 0.000
La1 0.000 0.500 0.500
La2 0.500 0.000 0.500
Cd1 0.500 0.500 0.000
# ΔE_f: 0.004 eV/atom
# distance to the lowest polymorph of the same formula: 10.6 kJ/mol of atoms

# TiNbBi2 PBE optimized geometry
data_TiNbBi2
_chemical_formula_sum 'Ti3 Nb3 Bi6'
_cell_length_a 3.2427
_cell_length_b 3.2427
_cell_length_c 31.4178
_cell_angle_alpha 90.00
_cell_angle_beta 90.00
_cell_angle_gamma 120.00
_symmetry_space_group_name_H-M 'R -3 m'
_symmetry_Int_Tables_number 166
_symmetry_space_group_name_Hall '-R 3 2"'
loop_
_atom_site_label
_atom_site_fract_x
_atom_site_fract_y
_atom_site_fract_z
Ti1 0.0000 0.0000 0.0000
Nb1 0.0000 0.0000 0.5000
Bi1 0.0000 0.0000 0.4065
# ΔE_f: 0.465 eV/atom
# distance to the lowest polymorph of the same formula: 30.1 kJ/mol of atoms

# OF PBE optimized geometry
data_OF
_chemical_formula_sum 'O8 F8'
_cell_length_a 9.447
_cell_length_b 9.447
_cell_length_c 2.589
_cell_angle_alpha 90.00
_cell_angle_beta 90.00
_cell_angle_gamma 90.00
_symmetry_space_group_name_H-M 'P 4/m'
_symmetry_Int_Tables_number 83
_symmetry_space_group_name_Hall '-P 4'
loop_
_atom_site_label
_atom_site_fract_x
_atom_site_fract_y
_atom_site_fract_z
O1 0.028 0.191 0.000
O2 0.330 0.394 0.500
F1 0.046 0.335 0.000
F2 0.249 0.659 0.500
# distance to the lowest polymorph of the same formula: 61.3 kJ/mol of atoms
# E_form (uncorrected): 0.490 eV/atom

# La2Sc PBE optimized geometry
data_La2Sc
_chemical_formula_sum 'La8 Sc4'
_cell_length_a 3.480
_cell_length_b 3.480
_cell_length_c 32.762
_cell_angle_alpha 90.00
_cell_angle_beta 90.00
_cell_angle_gamma 90.00
_symmetry_space_group_name_H-M 'I 41/a m d'
_symmetry_Int_Tables_number 141
loop_
_symmetry_equiv_pos_as_xyz
'x,y,z'
'-x,-y,-z'
'-y+1/4,x+3/4,z+1/4'
'y+1/4,-x+3/4,-z+1/4'
'-x+1/2,-y,z+1/2'
'x+1/2,y,-z+1/2'
'y+1/4,-x+1/4,z+3/4'
'-y+1/4,x+1/4,-z+3/4'
'x,-y,-z'
'-x,y,z'
'-y+1/4,-x+1/4,-z+3/4'
'y+1/4,x+1/4,z+3/4'
'-x+1/2,y,-z+1/2'
'x+1/2,-y,z+1/2'
'y+1/4,x+3/4,-z+1/4'
'-y+1/4,-x+3/4,z+1/4'
'x+1/2,y+1/2,z+1/2'
'-x+1/2,-y+1/2,-z+1/2'
'-y+3/4,x+1/4,z+3/4'
'y+3/4,-x+1/4,-z+3/4'
'-x,-y+1/2,z'
'x,y+1/2,-z'
'y+3/4,-x+3/4,z+1/4'
'-y+3/4,x+3/4,-z+1/4'
'x+1/2,-y+1/2,-z+1/2'
'-x+1/2,y+1/2,z+1/2'
'-y+3/4,-x+3/4,-z+1/4'
'y+3/4,x+3/4,z+1/4'
'-x,y+1/2,-z'
'x,-y+1/2,z'
'y+3/4,x+1/4,-z+3/4'
'-y+3/4,-x+1/4,z+3/4'
loop_
_atom_site_label
_atom_site_fract_x
_atom_site_fract_y
_atom_site_fract_z
La1 0.000 0.250 0.298
Sc1 0.000 0.250 0.875
# ΔE_f: 0.177 eV/atom
# distance to the lowest polymorph of the same formula: 12.1 kJ/mol of atoms

# NbAlAu2O PBE optimized geometry
data_NbAlAu2O
_chemical_formula_sum 'Nb1 Al1 Au2 O1'
_cell_length_a 5.334
_cell_length_b 5.334
_cell_length_c 3.852
_cell_angle_alpha 90.00
_cell_angle_beta 90.00
_cell_angle_gamma 90.00
_symmetry_space_group_name_H-M 'P 4/m m m'
_symmetry_Int_Tables_number 123
_symmetry_space_group_name_Hall '-P 4 2'
loop_
_atom_site_label
_atom_site_fract_x
_atom_site_fract_y
_atom_site_fract_z
Nb1 0.000 0.000 0.000
Al1 0.500 0.500 0.500
Au1 0.000 0.500 0.000
O1 0.000 0.000 0.500
# E_form (uncorrected): -0.155 eV/atom

# SmInBi PBE optimized geometry
data_SmInBi
_chemical_formula_sum 'Sm4 In4 Bi4'
_cell_length_a 4.446
_cell_length_b 17.174
_cell_length_c 4.554
_cell_angle_alpha 90.00
_cell_angle_beta 90.00
_cell_angle_gamma 90.00
_symmetry_space_group_name_H-M 'C m c m'
_symmetry_Int_Tables_number 63
_symmetry_space_group_name_Hall '-C 2c 2'
loop_
_atom_site_label
_atom_site_fract_x
_atom_site_fract_y
_atom_site_fract_z
Sm1 0.000 0.095 0.250
In1 0.000 0.249 0.750
Bi1 0.000 0.423 0.250
# ΔE_f: -0.543 eV/atom

# AlAs3Se4Cl4 PBE optimized geometry
data_AlAs3Se4Cl4
_chemical_formula_sum 'Al8 As24 Se32 Cl32'
_cell_length_a 21.213
_cell_length_b 13.146
_cell_length_c 14.533
_cell_angle_alpha 90.00
_cell_angle_beta 125.40
_cell_angle_gamma 90.00
_symmetry_space_group_name_H-M 'C 1 2/c 1'
_symmetry_Int_Tables_number 15
_symmetry_space_group_name_Hall '-C 2yc'
loop_
_atom_site_label
_atom_site_fract_x
_atom_site_fract_y
_atom_site_fract_z
Al1 0.237 0.037 0.431
As1 0.082 0.199 0.943
As2 0.096 0.234 0.562
As3 0.116 0.296 0.116
Se1 0.013 0.266 0.129
Se2 0.037 0.123 0.624
Se3 0.046 0.387 0.926
Se4 0.085 0.389 0.644
Cl1 0.127 0.054 0.406
Cl2 0.172 0.384 0.421
Cl3 0.229 0.091 0.284
Cl4 0.237 0.375 0.051
# E_form (uncorrected): -0.677 eV/atom

# In2TcTe PBE optimized geometry
data_In2TcTe
_chemical_formula_sum 'In8 Tc4 Te4'
_cell_length_a 6.594
_cell_length_b 6.594
_cell_length_c 12.791
_cell_angle_alpha 90.00
_cell_angle_beta 90.00
_cell_angle_gamma 90.00
_symmetry_space_group_name_H-M 'I -4 2 d'
_symmetry_Int_Tables_number 122
_symmetry_space_group_name_Hall 'I -4 2bw'
loop_
_atom_site_label
_atom_site_fract_x
_atom_site_fract_y
_atom_site_fract_z
In1 0.214 0.250 0.125
Tc1 0.000 0.000 0.000
Te1 0.000 0.000 0.500
# E_form (uncorrected): 0.795 eV/atom

# LaTmNi PBE optimized geometry
data_LaTmNi
_chemical_formula_sum 'La1 Tm1 Ni1'
_cell_length_a 4.5069
_cell_length_b 4.5069
_cell_length_c 4.4169
_cell_angle_alpha 90.00
_cell_angle_beta 90.00
_cell_angle_gamma 120.00
_symmetry_space_group_name_H-M 'P 3 m 1'
_symmetry_Int_Tables_number 156
_symmetry_space_group_name_Hall 'P 3 -2"'
loop_
_atom_site_label
_atom_site_fract_x
_atom_site_fract_y
_atom_site_fract_z
La1 0.0000 0.0000 0.0000
Tm1 0.3333 0.6667 0.4991
Ni1 0.6667 0.3333 0.6509
# ΔE_f: -0.084 eV/atom
# distance to the lowest polymorph of the same formula: 16.8 kJ/mol of atoms

# LaGa2Ir2Pt PBE optimized geometry
data_LaGa2Ir2Pt
_chemical_formula_sum 'La1 Ga2 Ir2 Pt1'
_cell_length_a 4.706
_cell_length_b 4.706
_cell_length_c 5.564
_cell_angle_alpha 90.00
_cell_angle_beta 90.00
_cell_angle_gamma 90.00
_symmetry_space_group_name_H-M 'P 4/m m m'
_symmetry_Int_Tables_number 123
_symmetry_space_group_name_Hall '-P 4 2'
loop_
_atom_site_label
_atom_site_fract_x
_atom_site_fract_y
_atom_site_fract_z
La1 0.000 0.000 0.000
Ga1 0.000 0.500 0.500
Ir1 0.500 0.500 0.229
Pt1 0.000 0.000 0.500
# ΔE_f: -0.245 eV/atom

# LaCd4In PBE optimized geometry
data_LaCd4In
_chemical_formula_sum 'La2 Cd8 In2'
_cell_length_a 8.051
_cell_length_b 4.755
_cell_length_c 8.092
_cell_angle_alpha 90.00
_cell_angle_beta 90.00
_cell_angle_gamma 90.00
_symmetry_space_group_name_H-M 'P m m a'
_symmetry_Int_Tables_number 51
_symmetry_space_group_name_Hall '-P 2a 2a'
loop_
_atom_site_label
_atom_site_fract_x
_atom_site_fract_y
_atom_site_fract_z
La1 0.250 0.000 0.142
Cd1 0.000 0.000 0.500
Cd2 0.046 0.500 0.823
Cd3 0.250 0.500 0.434
In1 0.250 0.000 0.746
# ΔE_f: -0.199 eV/atom
# distance to the lowest polymorph of the same formula: 6.4 kJ/mol of atoms